# PmMgGa4 (PBE, relaxed)
# V ... 19.9 Å³ per atom
# Energy of formation ... -0.419 eV per atom
# E above lowest polymorph ... 0 meV per atom
data_PmMgGa4
_space_group_name_H-M_alt 'P 6/m m m'
_space_group_IT_number 191
_space_group_name_Hall '-P 6 2'
_cell_length_a 4.5320
_cell_length_b 4.5320
_cell_length_c 6.7054
_cell_angle_alpha 90.00
_cell_angle_beta 90.00
_cell_angle_gamma 120.00
loop_
_atom_site_label
_atom_site_fract_x
_atom_site_fract_y
_atom_site_fract_z
Pm1 0.0000 0.0000 0.0000
Mg1 0.0000 0.0000 0.5000
Ga1 0.3333 0.6667 0.2844